Density functional theory data (PBE) for ErMg4Sc after structural relaxation.

The structure in extended XYZ format:
```
6
Lattice="-2.569 3.203 4.468 2.569 -3.203 4.468 2.569 3.203 -4.468" Properties=species:S:1:pos:R:3 pbc="T T T"
Er 0.000 0.000 0.000
Mg 2.569 1.608 -1.488
Mg 2.569 1.608 1.488
Mg 0.000 1.595 2.980
Mg 0.000 1.595 5.955
Sc 0.000 3.203 0.000
```

Total magnetic moment, μB/cell: 0.000
SG: No. 71
Formation energy, eV/atom: -0.030
Polymorph energy (0 for the lowest one), meV/atom: 4.4
Crystal system: orthorhombic